! MgSc2CF PBE optimized geometry; values from VASP
&SYSTEM
  ibrav = 0, nat = 5, ntyp = 4
/
ATOMIC_SPECIES
Mg 24.30 Mg.upf
Sc 44.96 Sc.upf
C 12.01 C.upf
F 19.00 F.upf
CELL_PARAMETERS angstrom
4.428 0.000 0.000
0.000 4.428 0.000
0.000 0.000 3.895
ATOMIC_POSITIONS crystal
Mg 0.000 0.000 0.000
Sc 0.000 0.500 0.500
Sc 0.500 0.000 0.500
C 0.500 0.500 0.000
F 0.000 0.000 0.500
! - E_form (uncorrected) (kJ/mol of atoms) = -2
! - crystal system = tetragonal
! - V (A^3/atom) = 15.27
! - calculated density (g/cm3) = 3.158
! - total DFT energy (no corrections) (eV/atom) = -5.093